(1)
Tl2Cd: relaxed, PBE-GGA.

Summary:
spin magnetization	0.0	μB per formula unit
ΔE to the lowest computed polymorph	168.4	meV/atom
E_form	4.6	kcal/mol of atoms

Lattice parameters (Å, degrees): 6.4687 6.4687 6.4687 60.00 60.00 60.00
Closest atoms and distances in Å follow each position.
Element x y z (fractional)
Tl: 0.6250 0.1250 0.1250  6 Tl 3.23
Tl: 0.1250 0.6250 0.1250  6 Tl 3.23
Tl: 0.1250 0.1250 0.6250  6 Tl 3.23
Tl: 0.1250 0.1250 0.1250  6 Tl 3.23
Cd: 0.5000 0.5000 0.5000  12 Tl 3.79, 4 Cd 3.96
Cd: 0.7500 0.7500 0.7500  12 Tl 3.79, 4 Cd 3.96

***

(2)
AlAsIr2: relaxed, PBE-GGA.

Summary:
spin magnetization	0.0	μB per formula unit
ΔE to the lowest computed polymorph	38.0	meV/atom
E_form	-6.6	kcal/mol of atoms

Lattice parameters (Å, degrees): 4.4110 4.4110 4.9784 78.71 78.71 38.87
Closest atoms and distances in Å follow each position.
Element x y z (fractional)
As: 0.2500 0.2500 0.2500  6 Ir 2.59-2.68, 4 Al 2.89
Ir: 0.0073 0.0073 0.9987  3 As 2.59-2.68, 3 Al 2.59-2.69, 2 Ir 2.88
Ir: 0.4927 0.4927 0.5013  3 As 2.59-2.68, 3 Al 2.59-2.69, 2 Ir 2.88
Al: 0.7500 0.7500 0.7500  6 Ir 2.59-2.69, 4 As 2.89

***

(3)
Pr2IrAu: relaxed, PBE-GGA.

Summary:
spin magnetization	0.0	μB per formula unit
E_form	-14.8	kcal/mol of atoms

Lattice parameters (Å, degrees): 4.2059 4.2059 7.7026 74.16 74.16 60.00
Closest atoms and distances in Å follow each position.
Element x y z (fractional)
Pr: 0.0717 0.0717 0.7849  3 Ir 2.90, 3 Au 3.22
Pr: 0.2614 0.2614 0.2158  3 Ir 2.88, 3 Au 3.18
Ir: 0.6657 0.6657 0.0028  6 Pr 2.88-2.90
Au: 0.5012 0.5012 0.4965  6 Pr 3.18-3.22

***

(4)
TmTlO3: relaxed, PBE-GGA.

Summary:
spin magnetization	0.0	μB per formula unit
uncorrected formation energy	-2.05	eV/atom

Lattice parameters (Å, degrees): 6.7113 6.9242 6.4457 86.97 90.00 90.00
Closest atoms and distances in Å follow each position.
Element x y z (fractional)
Tm: 0.6431 0.6629 0.1188  6 O 2.24-2.32
Tm: 0.3569 0.3371 0.8812  6 O 2.24-2.32
Tm: 0.1431 0.3371 0.3812  6 O 2.24-2.32
Tm: 0.8569 0.6629 0.6188  6 O 2.24-2.32
Tl: 0.3360 0.8249 0.5911  3 O 2.13-2.20
Tl: 0.6640 0.1751 0.4089  3 O 2.13-2.20
Tl: 0.8360 0.1751 0.9089  3 O 2.13-2.20
Tl: 0.1640 0.8249 0.0911  3 O 2.13-2.20
O: 0.0720 0.8455 0.4053  2 Tl 2.13-2.14, 1 Tm 2.32
O: 0.9280 0.1545 0.5947  2 Tl 2.13-2.14, 1 Tm 2.32
O: 0.5720 0.1545 0.0947  2 Tl 2.13-2.14, 1 Tm 2.32
O: 0.4280 0.8455 0.9053  2 Tl 2.13-2.14, 1 Tm 2.32
O: 0.6224 0.8180 0.4243  1 Tl 2.20, 2 Tm 2.25-2.30
O: 0.3776 0.1820 0.5757  1 Tl 2.20, 2 Tm 2.25-2.30
O: 0.1224 0.1820 0.0757  1 Tl 2.20, 2 Tm 2.25-2.30
O: 0.8776 0.8180 0.9243  1 Tl 2.20, 2 Tm 2.25-2.30
O: 0.1591 0.5188 0.6705  3 Tm 2.24-2.31, 1 Tl 2.46
O: 0.8409 0.4812 0.3295  3 Tm 2.24-2.31, 1 Tl 2.46
O: 0.6591 0.4812 0.8295  3 Tm 2.24-2.31, 1 Tl 2.46
O: 0.3409 0.5188 0.1705  3 Tm 2.24-2.31, 1 Tl 2.46

***

(5)
VSb2Te: relaxed, PBE-GGA.

Summary:
spin magnetization	2.8	μB per formula unit
uncorrected formation energy	0.46	eV/atom

Lattice parameters (Å, degrees): 6.4264 6.4264 8.1572 66.80 66.80 90.00
Closest atoms and distances in Å follow each position.
Element x y z (fractional)
Sb: 0.5687 0.1250 0.2500  2 V 2.65
Sb: 0.1813 0.6250 0.2500  2 V 2.65
Sb: 0.3750 0.4313 0.7500  2 V 2.65
Sb: 0.8750 0.8187 0.7500  2 V 2.65
Te: 0.0000 0.0000 0.0000  4 Sb 3.05
Te: 0.7500 0.2500 0.5000  4 Sb 3.05
V: 0.5000 0.5000 0.0000  4 Sb 2.65
V: 0.2500 0.7500 0.5000  4 Sb 2.65

***

(6)
Y7Er2Th2: relaxed, PBE-GGA.

Summary:
spin magnetization	0.0	μB per formula unit
ΔE to the lowest computed polymorph	19.4	meV/atom
E_form	4.3	kcal/mol of atoms

Lattice parameters (Å, degrees): 6.0966 7.9935 7.9935 91.59 74.44 74.44
Closest atoms and distances in Å follow each position.
Element x y z (fractional)
Y: 0.1740 0.0611 0.5882  3 Y 3.18-3.34, 2 Er 3.29-3.43
Y: 0.8260 0.4118 0.9389  3 Y 3.18-3.34, 2 Er 3.29-3.43
Y: 0.8260 0.9389 0.4118  3 Y 3.18-3.34, 2 Er 3.29-3.43
Y: 0.1740 0.5882 0.0611  3 Y 3.18-3.34, 2 Er 3.29-3.43
Y: 0.0000 0.0000 0.0000  6 Y 3.27-3.51
Y: 0.5876 0.7694 0.7694  5 Y 3.34-3.59, 2 Er 3.49, 2 Th 3.50-3.58
Y: 0.4124 0.2306 0.2306  5 Y 3.34-3.59, 2 Er 3.49, 2 Th 3.50-3.58
Er: 0.5000 0.2203 0.7797  6 Y 3.29-3.49, 2 Th 3.63
Er: 0.5000 0.7797 0.2203  6 Y 3.29-3.49, 2 Th 3.63
Th: 0.8026 0.4222 0.4222  2 Th 3.42-3.47, 7 Y 3.50-3.83, 2 Er 3.63
Th: 0.1974 0.5778 0.5778  2 Th 3.42-3.47, 7 Y 3.50-3.83, 2 Er 3.63

***

(7)
Sc5C: relaxed, PBE-GGA.

Summary:
spin magnetization	0.0	μB per formula unit
ΔE to the lowest computed polymorph	355.8	meV/atom
E_form	7.3	kcal/mol of atoms

Lattice parameters (Å, degrees): 7.6119 7.6119 5.5101 90.00 90.00 155.33
Closest atoms and distances in Å follow each position.
Element x y z (fractional)
Sc: 0.3297 0.6703 0.5000  4 Sc 2.88-3.01
Sc: 0.1071 0.8929 0.0000  2 C 2.28
Sc: 0.0000 0.0000 0.5000  10 Sc 3.01-3.25, 4 C 3.20
Sc: 0.8929 0.1071 0.0000  2 C 2.28
Sc: 0.6703 0.3297 0.5000  4 Sc 2.88-3.01
C: 0.5000 0.5000 0.0000  4 Sc 2.28

***

(8)
DyScPd14: relaxed, PBE-GGA.

Summary:
spin magnetization	0.0	μB per formula unit
E_form	-9.5	kcal/mol of atoms

Lattice parameters (Å, degrees): 5.6903 5.6903 7.9783 90.00 90.00 90.00
Closest atoms and distances in Å follow each position.
Element x y z (fractional)
Dy: 0.8750 0.8750 0.5000  12 Pd 2.85-2.87
Sc: 0.3750 0.3750 0.5000  12 Pd 2.84-2.85
Pd: 0.8750 0.8750 0.0000  12 Pd 2.83-2.85
Pd: 0.3750 0.3750 0.0000  12 Pd 2.79-2.85
Pd: 0.8750 0.3750 0.5000  2 Dy 2.85, 2 Sc 2.85, 8 Pd 2.86
Pd: 0.8750 0.3750 0.0000  12 Pd 2.81-2.85
Pd: 0.3750 0.8750 0.5000  2 Dy 2.85, 2 Sc 2.85, 8 Pd 2.86
Pd: 0.3750 0.8750 0.0000  12 Pd 2.81-2.85
Pd: 0.6221 0.1279 0.2459  10 Pd 2.79-2.88, 1 Sc 2.84, 1 Dy 2.87
Pd: 0.6221 0.1279 0.7541  10 Pd 2.79-2.88, 1 Sc 2.84, 1 Dy 2.87
Pd: 0.1279 0.6221 0.2459  10 Pd 2.79-2.88, 1 Sc 2.84, 1 Dy 2.87
Pd: 0.1279 0.6221 0.7541  10 Pd 2.79-2.88, 1 Sc 2.84, 1 Dy 2.87
Pd: 0.6221 0.6221 0.2459  10 Pd 2.79-2.88, 1 Sc 2.84, 1 Dy 2.87
Pd: 0.6221 0.6221 0.7541  10 Pd 2.79-2.88, 1 Sc 2.84, 1 Dy 2.87
Pd: 0.1279 0.1279 0.2459  10 Pd 2.79-2.88, 1 Sc 2.84, 1 Dy 2.87
Pd: 0.1279 0.1279 0.7541  10 Pd 2.79-2.88, 1 Sc 2.84, 1 Dy 2.87

***

(9)
CePuHfNb: relaxed, PBE-GGA.

Summary:
spin magnetization	6.1	μB per formula unit
E_form	4.2	kcal/mol of atoms

Lattice parameters (Å, degrees): 5.0362 5.0362 5.0362 60.00 60.00 60.00
Closest atoms and distances in Å follow each position.
Element x y z (fractional)
Nb: 0.2500 0.2500 0.2500  4 Ce 3.08, 4 Hf 3.08
Hf: 0.0000 0.0000 0.0000  4 Nb 3.08, 4 Pu 3.08
Ce: 0.5000 0.5000 0.5000  4 Nb 3.08, 4 Pu 3.08
Pu: 0.7500 0.7500 0.7500  4 Hf 3.08, 4 Ce 3.08

***

(10)
BaMg2HgAu4: relaxed, PBE-GGA.

Summary:
spin magnetization	0.0	μB per formula unit
E_form	-10.7	kcal/mol of atoms

Lattice parameters (Å, degrees): 4.6871 4.6871 10.3984 76.97 76.97 60.00
Closest atoms and distances in Å follow each position.
Element x y z (fractional)
Ba: 0.0000 0.0000 0.0000  8 Au 3.43-3.57
Mg: 0.7696 0.7696 0.6913  6 Au 2.75-2.88
Mg: 0.2304 0.2304 0.3087  6 Au 2.75-2.88
Hg: 0.5000 0.5000 0.5000  8 Au 2.91-3.07
Au: 0.4035 0.4035 0.7894  3 Mg 2.88, 1 Hg 2.91, 3 Au 3.07
Au: 0.8815 0.8815 0.3556  3 Mg 2.75, 3 Hg 3.07, 3 Au 3.07
Au: 0.1185 0.1185 0.6444  3 Mg 2.75, 3 Hg 3.07, 3 Au 3.07
Au: 0.5965 0.5965 0.2106  3 Mg 2.88, 1 Hg 2.91, 3 Au 3.07

***

(11)
AcMgPd2: relaxed, PBE-GGA.

Summary:
spin magnetization	0.0	μB per formula unit
E_form	-14.6	kcal/mol of atoms

Lattice parameters (Å, degrees): 3.5328 3.5328 6.9870 90.00 90.00 90.00
Closest atoms and distances in Å follow each position.
Element x y z (fractional)
Ac: 0.5000 0.5000 0.5000  8 Pd 3.25, 2 Mg 3.49, 4 Ac 3.53
Mg: 0.5000 0.5000 0.0000  8 Pd 2.87
Pd: 0.0000 0.0000 0.7966  1 Pd 2.84, 4 Mg 2.87
Pd: 0.0000 0.0000 0.2034  1 Pd 2.84, 4 Mg 2.87

***

(12)
CuC3S: relaxed, PBE-GGA.

Summary:
spin magnetization	0.0	μB per formula unit
uncorrected formation energy	2.56	eV/atom
ΔE to the lowest computed polymorph	0.0	meV/atom

Lattice parameters (Å, degrees): 3.5781 3.5781 3.5781 90.00 90.00 90.00
Closest atoms and distances in Å follow each position.
Element x y z (fractional)
S: 0.0000 0.0000 0.0000  6 C 1.79
C: 0.0000 0.5000 0.0000  2 S 1.79
C: 0.0000 0.0000 0.5000  2 S 1.79
C: 0.5000 0.0000 0.0000  2 S 1.79
Cu: 0.5000 0.5000 0.5000  12 C 2.53

***

(13)
NaGdAlTl: relaxed, PBE-GGA.

Summary:
spin magnetization	7.0	μB per formula unit
E_form	-3.0	kcal/mol of atoms

Lattice parameters (Å, degrees): 5.2374 5.2374 5.2374 60.00 60.00 60.00
Closest atoms and distances in Å follow each position.
Element x y z (fractional)
Na: 0.0000 0.0000 0.0000  4 Tl 3.21, 4 Al 3.21
Tl: 0.7500 0.7500 0.7500  4 Na 3.21, 4 Gd 3.21
Gd: 0.5000 0.5000 0.5000  4 Tl 3.21, 4 Al 3.21
Al: 0.2500 0.2500 0.2500  4 Gd 3.21, 4 Na 3.21